Computed, not measured: crystalline Hf4InAsN2 at its relaxed geometry at the GGA-PBE level of DFT.

Output
DFT total energy   -9.134 eV/atom

```
data_Hf4InAsN2
_symmetry_space_group_name_H-M 'P -6 m 2'
_symmetry_Int_Tables_number 187
_symmetry_space_group_name_Hall 'P -6 2'
_cell_length_a 3.3244
_cell_length_b 3.3244
_cell_length_c 13.4559
_cell_angle_alpha 90.00
_cell_angle_beta 90.00
_cell_angle_gamma 120.00
loop_
_atom_site_label
_atom_site_type_symbol
_atom_site_fract_x
_atom_site_fract_y
_atom_site_fract_z
Hf1 Hf 0.0000 0.0000 0.1403
Hf2 Hf 0.6667 0.3333 0.3208
In1 In 0.0000 0.0000 0.5000
As1 As 0.6667 0.3333 0.0000
N1 N 0.3333 0.6667 0.2332
```